[1]
Li4TmHg | PBE | optimized geometry

a b c (Å): 5.393 5.393 5.393
angles (deg): 60.00 60.00 60.00
Positions (direct):
Hg 0.000 0.000 0.000
Li 0.627 0.627 0.627
Li 0.627 0.120 0.627
Li 0.627 0.627 0.120
Li 0.120 0.627 0.627
Tm 0.250 0.250 0.250

Results
Its energy of formation is -0.10 eV/atom. Its total magnetization is 0.0 μB per cell.

---

[2]
Li2TmHg | PBE | optimized geometry

a b c (Å): 4.958 4.264 4.264
angles (deg): 90.00 90.00 90.00
Site moments in Bohr magnetons follow the coordinates.
Positions (direct):
Hg 0.500 0.500 0.500  0.01
Li 0.000 0.000 0.500  0.02
Li 0.000 0.500 0.000  0.02
Tm 0.500 0.000 0.000  0.13

Results
The energy above the most stable polymorph in this dataset is 11 kJ/mol of formula units. Its energy of formation is -0.12 eV/atom. Its total magnetization is 0.3 μB per cell.

---

[3]
LiTmHg | PBE | optimized geometry

a b c (Å): 3.519 4.680 4.680
angles (deg): 120.00 90.00 90.00
Positions (direct):
Li 0.166 0.667 0.333
Hg 0.167 0.000 0.000
Tm 0.667 0.333 0.667

Results
The energy above the most stable polymorph in this dataset is 5 kJ/mol of formula units. Its energy of formation is -0.27 eV/atom. Its total magnetization is 0.0 μB per cell.

---

[4]
LiTm5Hg4 | PBE | optimized geometry

a b c (Å): 3.688 3.688 18.152
angles (deg): 90.00 90.00 90.00
Positions (direct):
Hg 0.000 0.000 0.195
Hg 0.000 0.000 0.601
Hg 0.000 0.000 0.399
Hg 0.000 0.000 0.805
Tm 0.500 0.500 0.701
Tm 0.500 0.500 0.900
Tm 0.500 0.500 0.299
Tm 0.500 0.500 0.500
Tm 0.500 0.500 0.100
Li 0.000 0.000 0.000

Results
Its energy of formation is -0.36 eV/atom. Its total magnetization is 0.0 μB per cell.

---

[5]
LiTm2Hg9 | PBE | optimized geometry

a b c (Å): 4.506 4.506 13.805
angles (deg): 90.00 90.00 90.00
Positions (direct):
Tm 0.000 0.000 0.324
Tm 0.000 0.000 0.676
Hg 0.500 0.000 0.841
Hg 0.500 0.000 0.159
Hg 0.000 0.500 0.841
Hg 0.500 0.500 0.330
Hg 0.000 0.500 0.500
Hg 0.000 0.500 0.159
Hg 0.500 0.500 0.670
Hg 0.500 0.000 0.500
Hg 0.500 0.500 0.000
Li 0.000 0.000 0.000

Results
Its energy of formation is -0.26 eV/atom. Its total magnetization is 0.0 μB per cell.

---

[6]
Li2TmHg5 | PBE | optimized geometry

a b c (Å): 7.546 7.546 8.174
angles (deg): 117.49 117.49 90.00
Positions (direct):
Tm 0.250 0.250 0.500
Tm 0.750 0.750 0.500
Li 0.153 0.347 0.000
Li 0.847 0.653 0.000
Li 0.347 0.847 0.000
Li 0.653 0.153 0.000
Hg 0.000 0.500 0.702
Hg 0.000 0.000 0.000
Hg 0.702 0.202 0.702
Hg 0.500 0.500 0.000
Hg 0.500 0.702 0.702
Hg 0.000 0.500 0.298
Hg 0.798 0.000 0.298
Hg 0.202 0.000 0.702
Hg 0.500 0.298 0.298
Hg 0.298 0.798 0.298

Results
Its energy of formation is -0.29 eV/atom. Its total magnetization is 0.0 μB per cell.